Material: PaBiSeO6
Method: DFT, GGA-PBE
State: optimized geometry

Output
Uncorrected formation energy = -1.839 eV/atom
Symmetry = No. 163
M_tot = 0.00 μB per atom

extended XYZ file:
```
18
Lattice="-3.361 -3.594 -2.731 -0.427 0.563 5.583 -6.682 7.188 -1.237" Properties=species:S:1:pos:R:3 pbc="T T T"
Pa -3.075 0.975 2.502
Pa -7.394 3.183 -0.887
Bi 0.000 0.000 0.000
Bi -3.341 3.594 -0.618
Se -4.053 -0.411 -0.269
Se -6.416 4.568 1.884
O -3.392 -0.999 1.607
O -4.378 -2.351 -0.926
O -5.846 3.896 3.762
O -6.092 6.508 2.542
O -3.782 1.497 0.497
O -6.000 -0.576 0.428
O -8.326 4.457 2.687
O -4.623 0.261 -2.146
O -4.470 4.733 1.188
O -2.144 -0.300 -1.071
O -6.687 2.660 1.119
O -7.078 5.156 0.008
```

***

Material: PaSiBiO6
Method: DFT, GGA-PBE
State: optimized geometry

Output
Uncorrected formation energy = -2.494 eV/atom
Symmetry = No. 163
M_tot = 0.00 μB per atom

extended XYZ file:
```
18
Lattice="5.387 0.000 0.000 -2.693 4.665 0.000 0.000 0.000 9.686" Properties=species:S:1:pos:R:3 pbc="T T T"
Pa 0.000 3.110 2.422
Pa 2.693 1.555 7.265
Si 2.693 1.555 2.422
Si 0.000 3.110 7.265
Bi 0.000 0.000 0.000
Bi 0.000 0.000 4.843
O 1.910 2.845 1.390
O 4.202 1.588 1.390
O -0.726 4.433 6.233
O -1.509 3.077 8.296
O 1.185 1.588 3.453
O 3.476 2.845 3.453
O 0.726 4.433 8.296
O 3.419 0.232 3.453
O -0.783 1.820 6.233
O 1.968 0.232 1.390
O 1.509 3.077 6.233
O 0.783 1.820 8.296
```

***

Material: SmPaBiO6
Method: DFT, GGA-PBE
State: optimized geometry

Output
Uncorrected formation energy = -2.590 eV/atom
Symmetry = No. 163
M_tot = 0.02 μB per atom

extended XYZ file:
```
18
Lattice="-4.542 3.450 1.236 3.129 -2.365 4.322 5.983 7.883 -0.018" Properties=species:S:1:pos:R:3 pbc="T T T"
Sm 0.000 0.000 0.000
Sm 2.991 3.941 -0.009
Pa 2.068 1.544 3.289
Pa 2.502 7.424 2.251
Bi -0.490 3.483 2.260
Bi 5.059 5.485 3.280
O -0.094 1.737 3.674
O 1.836 0.268 1.507
O 2.248 6.164 0.461
O 2.734 8.700 4.032
O 1.750 3.230 1.906
O 4.224 1.355 2.875
O 2.201 9.097 0.849
O 2.321 2.804 5.079
O 0.346 7.613 2.665
O 2.368 -0.129 4.691
O 2.820 5.738 3.634
O 4.663 7.231 1.866
```

***

Repeat the second record exactly.
Material: PaSiBiO6
Method: DFT, GGA-PBE
State: optimized geometry

Output
Uncorrected formation energy = -2.494 eV/atom
Symmetry = No. 163
M_tot = 0.00 μB per atom

extended XYZ file:
```
18
Lattice="5.387 0.000 0.000 -2.693 4.665 0.000 0.000 0.000 9.686" Properties=species:S:1:pos:R:3 pbc="T T T"
Pa 0.000 3.110 2.422
Pa 2.693 1.555 7.265
Si 2.693 1.555 2.422
Si 0.000 3.110 7.265
Bi 0.000 0.000 0.000
Bi 0.000 0.000 4.843
O 1.910 2.845 1.390
O 4.202 1.588 1.390
O -0.726 4.433 6.233
O -1.509 3.077 8.296
O 1.185 1.588 3.453
O 3.476 2.845 3.453
O 0.726 4.433 8.296
O 3.419 0.232 3.453
O -0.783 1.820 6.233
O 1.968 0.232 1.390
O 1.509 3.077 6.233
O 0.783 1.820 8.296
```